1.
AcLaSmTl | Alexandria | PBE | optimized geometry; crystal system = tetragonal; distance to the lowest polymorph of the same formula = 0 meV per atom; energy relative to the elements = -0.15 eV/atom; M_tot = 0.00 μB per formula unit
1.0
5.038 0.000 0.000
-2.519 5.803 0.971
0.000 -2.884 4.139
Sm Tl La Ac
1 1 1 1
Direct
0.108 0.215 0.569 Sm
0.857 0.715 0.819 Tl
0.607 0.215 0.069 La
0.357 0.715 0.319 Ac

=====

2.
Ac2LaSmTl2 | Alexandria | PBE | optimized geometry; crystal system = orthorhombic; energy relative to the elements = -0.24 eV/atom; M_tot = 0.01 μB per formula unit
1.0
5.516 0.000 0.000
0.000 7.344 0.000
0.000 0.000 10.438
Ac Tl Sm La
4 4 2 2
Direct
0.500 0.031 0.051 Ac
0.000 0.328 0.178 Ac
0.000 0.828 0.822 Ac
0.500 0.531 0.949 Ac
0.000 0.791 0.162 Tl
0.500 0.230 0.370 Tl
0.000 0.291 0.838 Tl
0.500 0.730 0.630 Tl
0.500 0.189 0.677 Sm
0.500 0.689 0.323 Sm
0.000 0.476 0.541 La
0.000 0.976 0.459 La

=====

3.
AcLaSmTl | Alexandria | PBE | optimized geometry; crystal system = cubic; distance to the lowest polymorph of the same formula = 119 meV per atom; energy relative to the elements = -0.03 eV/atom; M_tot = 0.00 μB per formula unit
1.0
5.757 0.000 0.000
2.879 4.986 0.000
2.879 1.662 4.701
Sm Ac La Tl
1 1 1 1
Direct
0.000 0.000 0.000 Sm
0.250 0.250 0.250 Ac
0.500 0.500 0.500 La
0.750 0.750 0.750 Tl

=====

4.
AcLa5SmTm2 | Alexandria | PBE | optimized geometry; crystal system = orthorhombic; energy relative to the elements = 0.15 eV/atom; M_tot = 0.00 μB per formula unit
1.0
-2.994 4.454 -1.756
4.307 -4.920 -10.745
-7.857 -5.526 -0.619
Ac Tm La Sm
2 4 10 2
Direct
0.604 0.208 0.924 Ac
0.396 0.792 0.424 Ac
0.888 0.777 0.795 Tm
0.826 0.652 0.167 Tm
0.112 0.223 0.295 Tm
0.174 0.348 0.667 Tm
0.686 0.373 0.230 La
0.314 0.627 0.730 La
0.394 0.787 0.033 La
0.606 0.213 0.533 La
0.526 0.052 0.256 La
0.007 0.015 0.541 La
0.260 0.520 0.348 La
0.474 0.948 0.756 La
0.993 0.985 0.041 La
0.740 0.480 0.848 La
0.227 0.453 0.030 Sm
0.773 0.547 0.530 Sm

=====

5.
AcLa6SmTm2 | Alexandria | PBE | optimized geometry; crystal system = monoclinic; energy relative to the elements = 0.11 eV/atom; M_tot = 0.00 μB per formula unit
1.0
9.466 -2.212 -2.295
0.916 8.810 -2.024
0.916 -2.349 8.729
Tm La Sm Ac
4 12 2 2
Direct
0.453 0.798 0.698 Tm
0.047 0.302 0.202 Tm
0.547 0.202 0.302 Tm
0.953 0.698 0.798 Tm
0.878 0.296 0.511 La
0.948 0.891 0.247 La
0.552 0.753 0.109 La
0.052 0.109 0.753 La
0.622 0.489 0.704 La
0.684 0.006 0.552 La
0.816 0.448 0.994 La
0.122 0.704 0.489 La
0.378 0.511 0.296 La
0.316 0.994 0.448 La
0.448 0.247 0.891 La
0.184 0.552 0.006 La
0.750 0.591 0.409 Sm
0.250 0.409 0.591 Sm
0.250 0.971 0.029 Ac
0.750 0.029 0.971 Ac

=====

6.
Ac5La2SmTm | Alexandria | PBE | optimized geometry; crystal system = tetragonal; energy relative to the elements = 0.27 eV/atom; M_tot = 0.00 μB per formula unit
1.0
8.560 0.000 0.000
0.000 8.560 0.000
-4.280 -4.280 10.124
La Ac Sm Tm
4 10 2 2
Direct
0.621 0.121 0.000 La
0.121 0.379 0.000 La
0.879 0.621 0.000 La
0.379 0.879 0.000 La
0.128 0.089 0.718 Ac
0.589 0.628 0.718 Ac
0.411 0.372 0.282 Ac
0.911 0.411 0.282 Ac
0.500 0.500 0.000 Ac
0.372 0.872 0.282 Ac
0.872 0.911 0.282 Ac
0.628 0.128 0.718 Ac
0.000 0.000 0.000 Ac
0.089 0.589 0.718 Ac
0.750 0.750 0.500 Sm
0.250 0.250 0.500 Sm
0.750 0.250 0.500 Tm
0.250 0.750 0.500 Tm

=====

7.
AcLaSm2Tm4 | Alexandria | PBE | optimized geometry; crystal system = monoclinic; energy relative to the elements = 0.03 eV/atom; M_tot = 0.00 μB per formula unit
1.0
11.963 -0.269 -3.243
0.085 7.247 -0.279
-8.412 -3.205 8.528
Tm Sm Ac La
8 4 2 2
Direct
0.255 0.753 0.003 Tm
0.251 0.249 0.502 Tm
0.745 0.247 0.997 Tm
0.747 0.245 0.495 Tm
0.253 0.755 0.505 Tm
0.749 0.751 0.498 Tm
0.748 0.752 0.002 Tm
0.252 0.248 0.998 Tm
0.500 0.000 0.500 Sm
0.500 0.500 0.000 Sm
0.500 0.000 0.000 Sm
0.000 0.000 0.500 Sm
0.000 0.500 0.000 Ac
0.000 0.500 0.500 Ac
0.000 0.000 0.000 La
0.500 0.500 0.500 La

=====

8.
AcLaSm4Tm2 | Alexandria | PBE | optimized geometry; crystal system = monoclinic; energy relative to the elements = 0.05 eV/atom; M_tot = 0.00 μB per formula unit
1.0
-2.097 0.274 -4.710
4.187 -0.598 -4.728
-3.363 -8.897 -1.849
Sm Tm La Ac
4 2 1 1
Direct
0.626 0.625 0.123 Sm
0.877 0.874 0.372 Sm
0.123 0.126 0.628 Sm
0.374 0.375 0.877 Sm
0.746 0.755 0.754 Tm
0.254 0.245 0.246 Tm
0.000 0.000 0.000 La
0.500 0.500 0.500 Ac